[1]
The following is a DFT calculation (PBE) of a relaxed structure of Fe2HPt.

Output
magnetic moment = 0.00 μB/cell
energy = -23.1 eV/cell

Unit cell a=3.9827 b=3.9827 c=3.9827 alpha=60.00 beta=60.00 gamma=60.00
Element x y z (fractional)
Fe1 0.7500 0.7500 0.7500
Fe2 0.2500 0.2500 0.2500
H1 0.0000 0.0000 0.0000
Pt1 0.5000 0.5000 0.5000

=====

[2]
The following is a DFT calculation (PBE) of a relaxed structure of Fe2HPt.

Output
magnetic moment = 5.43 μB/cell
energy = -26.6 eV/cell

Unit cell a=2.7072 b=2.7072 c=6.7600 alpha=78.46 beta=78.46 gamma=59.85
Element x y z (fractional)
Pt1 0.4989 0.4989 0.5020
H1 0.6693 0.6693 0.9930
Fe1 0.0550 0.0550 0.8354
Fe2 0.2768 0.2768 0.1696

=====

no.,polymorph energy (0 for the lowest one) (eV/atom)
1,0.8674
2,0.0027